[1]
# FeBi2Pt (GGA-PBE, optimized geometry)
data_FeBi2Pt
_chemical_formula_sum 'Fe4 Bi8 Pt4'
_space_group_name_H-M_alt 'F -4 3 m'
_space_group_IT_number 216
_space_group_name_Hall 'F -4 2 3'
_cell_length_a 7.084
_cell_length_b 7.084
_cell_length_c 7.084
_cell_angle_alpha 90.00
_cell_angle_beta 90.00
_cell_angle_gamma 90.00
loop_
_atom_site_label
_atom_site_fract_x
_atom_site_fract_y
_atom_site_fract_z
_atom_site_occupancy
Fe1 0.000 0.000 0.000 1
Bi1 0.000 0.000 0.500 1
Bi2 0.250 0.250 0.250 1
Pt1 0.250 0.250 0.750 1
# - volume (Å³/cell) = 355.43
# - magnetization (μB per formula unit) = 3.1
# - VASP energy (Ry per atom) = -0.374

=====

[2]
# ScFeBiPt (GGA-PBE, optimized geometry)
data_ScFeBiPt
_chemical_formula_sum 'Sc4 Fe4 Bi4 Pt4'
_space_group_name_H-M_alt 'F -4 3 m'
_space_group_IT_number 216
_space_group_name_Hall 'F -4 2 3'
_cell_length_a 6.589
_cell_length_b 6.589
_cell_length_c 6.589
_cell_angle_alpha 90.00
_cell_angle_beta 90.00
_cell_angle_gamma 90.00
loop_
_atom_site_label
_atom_site_fract_x
_atom_site_fract_y
_atom_site_fract_z
_atom_site_occupancy
Sc1 0.000 0.000 0.000 1
Fe1 0.000 0.000 0.500 1
Bi1 0.250 0.250 0.250 1
Pt1 0.250 0.250 0.750 1
# - volume (Å³/cell) = 286.06
# - magnetization (μB per formula unit) = 2.7
# - VASP energy (Ry per atom) = -0.468

=====

[3]
# ScFeBiPt (GGA-PBE, optimized geometry)
data_ScFeBiPt
_chemical_formula_sum 'Sc4 Fe4 Bi4 Pt4'
_space_group_name_H-M_alt 'F -4 3 m'
_space_group_IT_number 216
_space_group_name_Hall 'F -4 2 3'
_cell_length_a 6.642
_cell_length_b 6.642
_cell_length_c 6.642
_cell_angle_alpha 90.00
_cell_angle_beta 90.00
_cell_angle_gamma 90.00
loop_
_atom_site_label
_atom_site_fract_x
_atom_site_fract_y
_atom_site_fract_z
_atom_site_occupancy
Sc1 0.000 0.000 0.000 1
Fe1 0.250 0.250 0.750 1
Bi1 0.000 0.000 0.500 1
Pt1 0.250 0.250 0.250 1
# - volume (Å³/cell) = 293.07
# - magnetization (μB per formula unit) = 1.9
# - VASP energy (Ry per atom) = -0.473

=====

[4]
# TaFeBiPt (GGA-PBE, optimized geometry)
data_TaFeBiPt
_chemical_formula_sum 'Ta4 Fe4 Bi4 Pt4'
_space_group_name_H-M_alt 'F -4 3 m'
_space_group_IT_number 216
_space_group_name_Hall 'F -4 2 3'
_cell_length_a 6.500
_cell_length_b 6.500
_cell_length_c 6.500
_cell_angle_alpha 90.00
_cell_angle_beta 90.00
_cell_angle_gamma 90.00
loop_
_atom_site_label
_atom_site_fract_x
_atom_site_fract_y
_atom_site_fract_z
_atom_site_occupancy
Ta1 0.000 0.000 0.000 1
Fe1 0.000 0.000 0.500 1
Bi1 0.250 0.250 0.250 1
Pt1 0.250 0.250 0.750 1
# - volume (Å³/cell) = 274.59
# - magnetization (μB per formula unit) = 1.8
# - VASP energy (Ry per atom) = -0.535

=====

[5]
# TaFeBiPt (GGA-PBE, optimized geometry)
data_TaFeBiPt
_chemical_formula_sum 'Ta4 Fe4 Bi4 Pt4'
_space_group_name_H-M_alt 'F -4 3 m'
_space_group_IT_number 216
_space_group_name_Hall 'F -4 2 3'
_cell_length_a 6.561
_cell_length_b 6.561
_cell_length_c 6.561
_cell_angle_alpha 90.00
_cell_angle_beta 90.00
_cell_angle_gamma 90.00
loop_
_atom_site_label
_atom_site_fract_x
_atom_site_fract_y
_atom_site_fract_z
_atom_site_occupancy
Ta1 0.000 0.000 0.000 1
Fe1 0.250 0.250 0.750 1
Bi1 0.000 0.000 0.500 1
Pt1 0.250 0.250 0.250 1
# - volume (Å³/cell) = 282.40
# - magnetization (μB per formula unit) = 1.5
# - VASP energy (Ry per atom) = -0.534

=====

[6]
# YFeBiPt (GGA-PBE, optimized geometry)
data_YFeBiPt
_chemical_formula_sum 'Y4 Fe4 Bi4 Pt4'
_space_group_name_H-M_alt 'F -4 3 m'
_space_group_IT_number 216
_space_group_name_Hall 'F -4 2 3'
_cell_length_a 6.870
_cell_length_b 6.870
_cell_length_c 6.870
_cell_angle_alpha 90.00
_cell_angle_beta 90.00
_cell_angle_gamma 90.00
loop_
_atom_site_label
_atom_site_fract_x
_atom_site_fract_y
_atom_site_fract_z
_atom_site_occupancy
Y1 0.000 0.000 0.000 1
Fe1 0.250 0.250 0.750 1
Bi1 0.000 0.000 0.500 1
Pt1 0.250 0.250 0.250 1
# - volume (Å³/cell) = 324.25
# - magnetization (μB per formula unit) = 2.2
# - VASP energy (Ry per atom) = -0.474